[1]
Material: TlZnPb2
Method: DFT, PBE
State: optimized geometry

- crystal system = monoclinic
- density of states at the Fermi level (states/eV per cell) = 1.8
- theoretical density (g cm⁻³) = 10.05
- ΔE_f (meV per atom) = 95
- SG = P2/m (10)

Unit cell a=4.303 b=3.471 c=7.957 alpha=71.99 beta=90.00 gamma=90.00
Sites, in units of the cell vectors:
Pb  0.000  0.962  0.961
Tl  0.500  0.250  0.250
Pb  0.000  0.538  0.539
Zn  0.500  0.750  0.750

=====

[2]
Material: Na2PbAuO4
Method: DFT, PBE
State: optimized geometry

- crystal system = tetragonal
- density of states at the Fermi level (states/eV per cell) = 2.8
- theoretical density (g cm⁻³) = 7.13
- SG = I-4 (82)
- formation energy from raw total energies (eV/atom) = -0.9163

Unit cell a=5.389 b=5.389 c=5.389 alpha=104.28 beta=112.13 gamma=112.13
Sites, in units of the cell vectors:
O  0.902  0.673  0.208
O  0.098  0.307  0.772
O  0.465  0.792  0.693
Na  0.000  0.000  0.000
Au  0.000  0.500  0.500
Na  0.500  0.750  0.250
O  0.535  0.228  0.327
Pb  0.500  0.250  0.750

=====

[3]
Material: Ho8Er3Sc3
Method: DFT, PBE
State: optimized geometry

- crystal system = orthorhombic
- density of states at the Fermi level (states/eV per cell) = 22.2
- theoretical density (g cm⁻³) = 7.67
- ΔE_f (meV per atom) = 183
- SG = Immm (71)

Unit cell a=5.336 b=9.305 c=9.305 alpha=82.72 beta=73.34 gamma=73.34
Sites, in units of the cell vectors:
Ho  0.363  0.912  0.362
Ho  0.871  0.506  0.752
Er  0.778  0.222  0.222
Ho  0.363  0.362  0.912
Er  0.222  0.778  0.778
Er  0.500  0.500  0.500
Ho  0.871  0.752  0.506
Ho  0.129  0.248  0.494
Ho  0.637  0.088  0.638
Ho  0.637  0.638  0.088
Sc  0.000  0.859  0.141
Ho  0.129  0.494  0.248
Sc  0.000  0.141  0.859
Sc  0.500  0.000  0.000

=====

[4]
Material: CeSbRh
Method: DFT, PBE
State: optimized geometry

- crystal system = hexagonal
- density of states at the Fermi level (states/eV per cell) = 9.9
- theoretical density (g cm⁻³) = 8.60
- SG = P-62m (189)
- formation energy from raw total energies (eV/atom) = -0.3752

Unit cell a=3.408 b=8.462 c=8.462 alpha=120.00 beta=90.00 gamma=90.00
Each line ends with the local moment (μB).
Sites, in units of the cell vectors:
Sb  0.000  0.000  0.000  0.00
Sb  0.500  0.333  0.667  0.00
Rh  0.000  0.000  0.680  -0.09
Rh  0.000  0.680  0.000  -0.09
Ce  0.500  0.704  0.704  0.45
Ce  0.500  0.000  0.296  0.45
Ce  0.500  0.296  0.000  0.45
Rh  0.000  0.320  0.320  -0.09
Sb  0.500  0.667  0.333  0.00

=====

[5]
Material: Sr2In4Rh
Method: DFT, PBE
State: optimized geometry

- crystal system = tetragonal
- density of states at the Fermi level (states/eV per cell) = 5.9
- theoretical density (g cm⁻³) = 5.43
- ΔE_f (meV per atom) = -276
- SG = I4/mmm (139)

Unit cell a=5.100 b=5.100 c=9.395 alpha=74.25 beta=74.25 gamma=90.00
Sites, in units of the cell vectors:
Rh  0.000  0.000  0.000
In  0.154  0.154  0.692
Sr  0.345  0.345  0.309
Sr  0.655  0.655  0.691
In  0.846  0.846  0.308
In  0.500  0.000  0.000
In  0.000  0.500  0.000

=====

[6]
Material: GaS2N
Method: DFT, PBE
State: optimized geometry

- crystal system = trigonal
- density of states at the Fermi level (states/eV per cell) = 2.1
- theoretical density (g cm⁻³) = 3.91
- SG = R-3m (166)
- formation energy from raw total energies (eV/atom) = 1.1789

Unit cell a=8.188 b=8.188 c=8.188 alpha=21.18 beta=21.18 gamma=21.18
Sites, in units of the cell vectors:
S  0.110  0.110  0.110
S  0.890  0.890  0.890
Ga  0.000  0.000  0.000
N  0.500  0.500  0.500